<A>
# LiSi2Pt

A relaxed structure of LiSi2Pt (PBE, Alexandria).

D(E_F): 1.22 states/eV/f.u.

The structure in extended XYZ format:
```
4
Lattice="4.2965 -1.4544 0.0000 4.2965 1.4544 0.0000 -0.5474 0.0000 4.4288" Properties=species:S:1:pos:R:3 pbc="T T T"
Li 0.0000 0.0000 0.0000
Si 4.1044 0.0000 2.2166
Si 6.3794 0.0000 1.0712
Pt 1.7258 0.0000 3.2914
```



<B>
# LiSi2Pt

A relaxed structure of LiSi2Pt (PBE, Alexandria).

D(E_F): 2.06 states/eV/f.u.

The structure in extended XYZ format:
```
4
Lattice="2.8800 0.0000 0.0000 0.0000 2.8800 0.0000 0.0000 0.0000 7.4406" Properties=species:S:1:pos:R:3 pbc="T T T"
Li 0.0000 0.0000 0.0000
Si 1.4400 1.4400 2.0376
Si 1.4400 1.4400 5.4031
Pt 0.0000 0.0000 3.7203
```



<A> is preferred energetically. Next in line: 73 meV per atom higher.



<A>
# MgZnAs2

A relaxed structure of MgZnAs2 (PBE, Alexandria).

D(E_F): 1.84 states/eV/f.u.

The structure in extended XYZ format:
```
4
Lattice="0.0000 3.3617 3.3617 3.3617 0.0000 3.3617 3.3617 3.3617 0.0000" Properties=species:S:1:pos:R:3 pbc="T T T"
Mg 0.0000 0.0000 0.0000
Zn 1.6809 1.6809 1.6809
As 3.3617 3.3617 3.3617
As 5.0426 5.0426 5.0426
```



<B>
# MgZnAs2

A relaxed structure of MgZnAs2 (PBE, Alexandria).

D(E_F): 2.21 states/eV/f.u.

The structure in extended XYZ format:
```
4
Lattice="3.1283 0.0000 0.0000 0.0000 3.1283 0.0000 0.0000 0.0000 7.6658" Properties=species:S:1:pos:R:3 pbc="T T T"
Mg 0.0000 0.0000 0.0000
Zn 0.0000 0.0000 3.8329
As 1.5642 1.5642 1.9257
As 1.5642 1.5642 5.7401
```



<B> is preferred energetically. Next in line: 116 meV per atom higher.